# 1
# KY2VAg

A relaxed KY2VAg crystal (PBE, Alexandria).

As for the density of states at the Fermi level: 0.895 states/eV per atom. The formation energy comes out at 1.619 eV per atom. The crystal system is tetragonal.

abc: 5.3977 5.3977 4.4838
angles: 90.00 90.00 90.00
Last column: nearest neighbours and their distance in Å.
Space group P4/mmm (No. 123)
Symmetry-distinct sites (fractional):
K 0.0000 0.0000 0.0000 x1  2 V 2.24
Y 0.0000 0.5000 0.0000 x2  2 K 2.70
V 0.0000 0.0000 0.5000 x1  2 K 2.24
Ag 0.5000 0.5000 0.5000 x1  8 Y 3.51, 4 V 3.82

=====

# 2
# AlPt2Rh

A relaxed AlPt2Rh crystal (PBE, Alexandria).

As for the density of states at the Fermi level: 0.847 states/eV per atom. The formation energy comes out at -0.532 eV per atom. The crystal system is orthorhombic.

abc: 2.8341 4.5531 9.2107
angles: 90.00 90.00 90.00
Last column: nearest neighbours and their distance in Å.
Space group Imm2 (No. 44)
Symmetry-distinct sites (fractional):
Al 0.0000 0.0000 0.0000 x2  2 Rh 2.50, 6 Pt 2.54-2.68
Pt 0.0000 0.0000 0.5032 x2  4 Al 2.68, 4 Pt 2.83-2.90, 2 Rh 2.88
Pt 0.0000 0.5000 0.7282 x2  2 Al 2.54, 4 Rh 2.72, 2 Pt 2.83
Rh 0.0000 0.5000 0.2759 x2  2 Al 2.50, 4 Pt 2.72

=====

# 3
# ThSc2Tc2

A relaxed ThSc2Tc2 crystal (PBE, Alexandria).

As for the density of states at the Fermi level: 0.824 states/eV per atom. The formation energy comes out at 0.019 eV per atom. The crystal system is monoclinic.

abc: 4.9335 4.0881 11.2318
angles: 90.00 90.54 90.00
Last column: nearest neighbours and their distance in Å.
Space group P2_1/m (No. 11)
Symmetry-distinct sites (fractional):
Th 0.1053 0.2500 0.2506 x2  3 Tc 2.88-3.16
Sc 0.2561 0.7500 0.4912 x2  4 Tc 2.71-2.98
Sc 0.4010 0.2500 0.8799 x2  5 Tc 2.64-2.90
Tc 0.1186 0.7500 0.0137 x2  2 Tc 2.37, 1 Sc 2.64
Tc 0.2334 0.2500 0.6494 x2  5 Sc 2.71-2.98, 2 Th 2.88

=====

Question: Number 2 is which compound?
Answer: AlPt2Rh